GaCo3H: relaxed, PBE.

Cell: 6.433 4.416 8.996 Å, 90.00 130.24 90.00°
Space group P2_1/c (No. 14)
Asymmetric unit:
Ga  0.189  0.207  0.047 (multiplicity 4)
Co  0.056  0.634  0.830 (multiplicity 4)
Co  0.319  0.721  0.214 (multiplicity 4)
Co  0.440  0.230  0.417 (multiplicity 4)
H  0.267  0.579  0.361 (multiplicity 4)

Results
**N(E_F)**: 1.15 states/eV per atom
**Excess energy over the best structure of this formula in the dataset**: 78 meV per atom